1.
The following is a DFT calculation (GGA-PBE) of a relaxed structure of ZrScCuSi.

The calculation puts the spin magnetization at 0.00 μB per formula unit. As for the crystal system: cubic. The value obtained for the formation energy (no corrections) is -423 meV/atom.

The space group is F-43m (No. 216) and the conventional cell measures 6.532, 6.532 and 6.532 Å, with angles of 90.00, 90.00 and 90.00 degrees. Symmetry generates all atoms from Zr at (0.000, 0.000, 0.000), Sc at (0.000, 0.000, 0.500), Cu at (0.250, 0.250, 0.250) and Si at (0.250, 0.250, 0.750).

---

2.
The following is a DFT calculation (GGA-PBE) of a relaxed structure of SmSc2Cu6.

The energy of formation comes out at -0.180 eV/atom. The calculation puts the spin magnetization at 0.00 μB per formula unit. As for the crystal system: hexagonal.

The space group is P6/mmm (No. 191) and the conventional cell measures 7.3344, 7.3344 and 3.2838 Å, with angles of 90.00, 90.00 and 120.00 degrees. Symmetry generates all atoms from Sm at (0.0000, 0.0000, 0.0000), Sc at (0.3333, 0.6667, 0.0000) and Cu at (0.0000, 0.3382, 0.5000).

---

3.
The following is a DFT calculation (GGA-PBE) of a relaxed structure of SmSc5Cu4.

The energy of formation comes out at -0.201 eV/atom. The calculation puts the spin magnetization at 0.00 μB per formula unit. As for the crystal system: tetragonal.

The space group is P4/mmm (No. 123) and the conventional cell measures 3.260, 3.260 and 18.338 Å, with angles of 90.00, 90.00 and 90.00 degrees. Symmetry generates all atoms from Sm at (0.000, 0.000, 0.000), Sc at (0.500, 0.500, 0.143), Sc at (0.500, 0.500, 0.321), Sc at (0.500, 0.500, 0.500), Cu at (0.000, 0.000, 0.231) and Cu at (0.000, 0.000, 0.411).

---

4.
The following is a DFT calculation (GGA-PBE) of a relaxed structure of Sm2ScCu9.

The energy of formation comes out at -0.139 eV/atom. The calculation puts the spin magnetization at 0.00 μB per formula unit. As for the crystal system: trigonal.

The space group is R-3m (No. 166, hexagonal axes) and the conventional cell measures 5.0975, 5.0975 and 25.4079 Å, with angles of 90.00, 90.00 and 120.00 degrees. Symmetry generates all atoms from Sm at (0.0000, 0.0000, 0.1373), Sc at (0.0000, 0.0000, 0.0000), Cu at (0.0000, 0.0000, 0.3325), Cu at (0.0000, 0.0000, 0.5000) and Cu at (0.0006, 0.5003, 0.0796).

---

5.
The following is a DFT calculation (GGA-PBE) of a relaxed structure of Sm2ScCu3.

The energy of formation comes out at -0.199 eV/atom. The calculation puts the spin magnetization at 0.00 μB per formula unit. As for the crystal system: tetragonal.

The space group is P4/mmm (No. 123) and the conventional cell measures 3.438, 3.438 and 10.441 Å, with angles of 90.00, 90.00 and 90.00 degrees. Symmetry generates all atoms from Sm at (0.000, 0.000, 0.176), Sc at (0.000, 0.000, 0.500), Cu at (0.500, 0.500, 0.000) and Cu at (0.500, 0.500, 0.362).

---

6.
The following is a DFT calculation (GGA-PBE) of a relaxed structure of SmSc5Cu6.

The energy of formation comes out at -0.244 eV/atom. The calculation puts the spin magnetization at 0.00 μB per formula unit. As for the crystal system: orthorhombic.

The space group is Immm (No. 71) and the conventional cell measures 4.688, 6.568 and 14.128 Å, with angles of 90.00, 90.00 and 90.00 degrees. Symmetry generates all atoms from Sm at (0.000, 0.000, 0.000), Sc at (0.000, 0.000, 0.332), Sc at (0.000, 0.500, 0.000), Sc at (0.000, 0.500, 0.333), Cu at (0.000, 0.224, 0.500) and Cu at (0.000, 0.262, 0.174).

---

What did we get for E? Answer: -104.36, -43.58, -54.78, -162.91, -29.25, -127.75 eV/cell, in the order shown.
What did we get for D(E_F)? Answer: 2.97, 7.16, 8.51, 8.09, 3.34, 7.87 states/eV/f.u., in the order shown.